Record 1
RbTcRh2 | PBE | relaxed

extended XYZ file:
```
8
Lattice="-3.7539 3.7539 3.4498 3.7539 -3.7539 3.4498 3.7539 3.7539 -3.4498" Properties=species:S:1:pos:R:3 pbc="T T T"
Rb 0.0000 0.0000 0.0000
Rb 0.0000 3.7539 1.7249
Tc 3.7539 0.0000 1.7249
Tc 0.0000 0.0000 3.4498
Rh 1.8770 2.5683 -0.8625
Rh 4.9395 1.8770 0.8625
Rh 1.8770 1.1856 2.5874
Rh -1.1856 1.8770 4.3123
```

Results
The energy above the most stable polymorph in this dataset is 0.00 eV/f.u. The magnetic moment is 0.0 Bohr magnetons per cell. The space-group type is I-42d (122).


Record 2
RbTeRh3 | PBE | relaxed

extended XYZ file:
```
5
Lattice="4.8817 0.0000 0.0000 0.0000 4.8817 0.0000 0.0000 0.0000 4.8817" Properties=species:S:1:pos:R:3 pbc="T T T"
Rb 0.0000 0.0000 0.0000
Te 2.4408 2.4408 2.4408
Rh 0.0000 0.0000 2.4408
Rh 0.0000 2.4408 0.0000
Rh 2.4408 0.0000 0.0000
```

Results
The energy above the most stable polymorph in this dataset is 7.41 eV/f.u. The magnetic moment is 0.0 Bohr magnetons per cell. As for the raw formation energy: 10.2 eV per formula unit. The space-group type is Pm-3m (221).